Density functional theory data (PBE) for a geometry-optimized ZrPaRe2 structure.

Cell lengths 3.367, 4.799, 4.799 Å; angles 90.00, 90.00, 90.00 degrees
Atoms (fractional coordinates):
Re 0.000 0.000 0.500
Re 0.000 0.500 0.000
Pa 0.500 0.500 0.500
Zr 0.500 0.000 0.000

Computed properties:
DFT formation energy, eV per atom: -0.133
Total magnetization, μB per cell: 0.00
Raw total energy, eV/atom: -10.868
E above lowest polymorph, meV/atom: 0